1.
# ZrPd5

A relaxed structure of ZrPd5 (PBE, Alexandria via LeMat-Bulk).

Values from the calculation:
- DFT formation energy: -3.413 eV/f.u.
- Final energy: -75.85 eV for the cell shown

Cell: 8.9756 3.9978 5.6865 Å, 90.00 108.20 90.00°
With the nearest neighbours (Å) after each atom.
Space group C2/m (No. 12)
One atom of each set of equivalent atoms:
1 Zr 0.0000 0.0000 0.0000 [2 per cell]  12 Pd 2.83-2.86
2 Pd 0.0000 0.0000 0.5000 [2 per cell]  10 Pd 2.82-2.84, 2 Zr 2.84
3 Pd 0.1648 0.5000 0.8288 [4 per cell]  9 Pd 2.82-2.88, 3 Zr 2.83-2.86
4 Pd 0.1666 0.5000 0.3298 [4 per cell]  10 Pd 2.82-2.86, 2 Zr 2.83

=====

2.
# Dy2Si2BRu2

A relaxed structure of Dy2Si2BRu2 (PBE, Alexandria via LeMat-Bulk).

Values from the calculation:
- Final energy: -102.09 eV for the cell shown

Cell: 10.7918 4.1532 6.9249 Å, 90.00 128.65 90.00°
With the nearest neighbours (Å) after each atom.
Space group C2/m (No. 12)
One atom of each set of equivalent atoms:
1 Dy 0.0651 0.0000 0.3287 [4 per cell]  2 B 2.69
2 Si 0.1533 0.5000 0.1006 [4 per cell]  3 Ru 2.38-2.42, 1 Si 2.67
3 B 0.0000 0.5000 0.5000 [2 per cell]  2 Ru 1.95
4 Ru 0.2133 0.5000 0.8179 [4 per cell]  1 B 1.95

=====

3.
# BeV2Co

A relaxed structure of BeV2Co (PBE, Alexandria via LeMat-Bulk).

Values from the calculation:
- DFT formation energy: 1.301 eV/f.u.
- Final energy: -111.07 eV for the cell shown
- Energy above the lowest structure with this stoichiometry: 428 meV per atom

Cell: 6.4602 6.4602 4.6328 Å, 90.00 90.00 90.00°
With the nearest neighbours (Å) after each atom.
Space group I-42d (No. 122)
One atom of each set of equivalent atoms:
1 Be 0.0000 0.0000 0.0000 [4 per cell]  2 Co 2.32, 4 V 2.45
2 V 0.2296 0.2500 0.6250 [8 per cell]  2 Co 2.27, 2 V 2.33, 2 Be 2.45
3 Co 0.0000 0.0000 0.5000 [4 per cell]  4 V 2.27, 2 Be 2.32